Material: Nd2YGa
Method: DFT, PBE
State: optimized geometry

Lattice parameters (Å, degrees): 4.7897 4.7897 4.9133 90.00 90.00 90.00
Space group P4/mmm (No. 123)
One atom of each set of equivalent atoms:
Nd (0.0000, 0.5000, 0.0000)
Y (0.0000, 0.0000, 0.5000)
Ga (0.5000, 0.5000, 0.5000)

Computed properties:
Energy above the lowest structure with this stoichiometry ... 33 meV/atom

Material: Np2SiN
Method: DFT, PBE
State: optimized geometry

Lattice parameters (Å, degrees): 3.5183 3.5183 20.5402 90.00 90.00 120.00
Space group R-3m (No. 166, hexagonal axes)
One atom of each set of equivalent atoms:
Np (0.0000, 0.0000, 0.2335)
Si (0.0000, 0.0000, 0.0000)
N (0.0000, 0.0000, 0.5000)

Computed properties:
ΔE_f (raw) ... -406 meV per atom